An optimized crystal structure of Tb5Nd5Sc. Source: the Alexandria database, functional GGA-PBE.

Structure (POSCAR):
```
Tb5Nd5Sc
1.0
-0.480 5.887 -0.938
-8.811 -3.233 3.280
4.348 1.209 5.362
Tb Nd Sc
5 5 1
direct
0.000 0.000 0.500
0.623 0.246 0.623
0.377 0.754 0.377
0.670 0.340 0.170
0.330 0.660 0.830
0.826 0.653 0.583
0.174 0.347 0.931
0.500 0.000 0.000
0.174 0.347 0.417
0.826 0.653 0.069
0.000 0.000 0.000
```

Results
Raw total energy = -50.53 eV for the cell shown
Magnetization = 0.7 Bohr magnetons per cell
V = 33.554 Å³/atom